A relaxed structure of MoRuAu2. Source: Alexandria, functional PBE-GGA.

Geometry as CIF:
```
data_MoRuAu2
_chemical_formula_sum 'Mo2 Ru2 Au4'
_space_group_name_H-M_alt 'I m m 2'
_space_group_IT_number 44
_cell_length_a 3.887
_cell_length_b 4.131
_cell_length_c 8.061
_cell_angle_alpha 90.00
_cell_angle_beta 90.00
_cell_angle_gamma 90.00
loop_
_space_group_symop_operation_xyz
'x,y,z'
'-x,-y,z'
'-x,y,z'
'x,-y,z'
'x+1/2,y+1/2,z+1/2'
'-x+1/2,-y+1/2,z+1/2'
'-x+1/2,y+1/2,z+1/2'
'x+1/2,-y+1/2,z+1/2'
loop_
_atom_site_label
_atom_site_type_symbol
_atom_site_fract_x
_atom_site_fract_y
_atom_site_fract_z
Mo1 Mo 0.000 0.000 0.000
Ru1 Ru 0.000 0.500 0.726
Au1 Au 0.000 0.000 0.485
Au2 Au 0.000 0.500 0.240
```

Calculated values
Energy above the most stable polymorph in this dataset ... 0.131 eV/atom
Formation energy from the elements ... 1.02 eV/f.u.